Material: CuSnRhS4
Method: DFT, PBE-GGA
State: relaxed

```
CuSnRhS4
1.0
-3.6213 3.6321 5.0980
3.6213 -3.6321 5.0980
3.6213 3.6321 -5.0980
Cu Sn Rh S
2 2 2 8
Cartesian
0.0000 1.8160 1.3175
3.6213 1.8160 3.7805
3.6213 0.0000 0.0000
0.0000 0.0000 5.0980
1.8106 1.8160 -2.5490
1.8106 -1.8160 2.5490
3.6213 3.4296 -2.5496
3.6213 -0.2024 2.5496
1.7982 1.8160 -0.1495
1.8231 -1.8160 4.9485
1.7982 5.4481 0.1495
1.8231 1.8160 5.2475
0.0000 3.8345 2.5484
0.0000 0.2024 7.6476
```

Summary:
Energy relative to the elements, uncorrected: -0.457 eV per atom
Energy: -5.023 eV/atom
Volume: 19.16 A^3/atom